3
Lattice="3.298 0.000 0.000 0.000 3.298 0.000 0.055 0.023 6.754" Properties=species:S:1:pos:R:3 comment="PBE-GGA TlBiRu, relaxed" polymorph_energy_mev_per_atom=0 formation_energy_mev_per_atom=270 final_energy_ev_per_atom=-4.904 space_group="No. 1" dos_at_fermi_per_ev_cell=1.118 pbc="T T T"
Tl 0.000 0.000 0.000
Bi 0.060 0.026 3.288
Ru 1.709 1.675 4.910

***

3
Lattice="3.871 0.000 0.000 0.000 3.861 0.000 -0.024 0.000 5.430" Properties=species:S:1:pos:R:3 comment="PBE-GGA TlBiRu, relaxed" polymorph_energy_mev_per_atom=160 formation_energy_mev_per_atom=431 final_energy_ev_per_atom=-4.744 space_group="No. 10" dos_at_fermi_per_ev_cell=1.995 pbc="T T T"
Tl 0.000 0.000 0.000
Bi 1.924 1.930 2.715
Ru -0.012 0.000 2.715

***

3
Lattice="3.488 0.000 0.000 -1.744 3.021 0.000 0.000 0.000 6.853" Properties=species:S:1:pos:R:3 comment="PBE-GGA TlBiRu, relaxed" polymorph_energy_mev_per_atom=62 formation_energy_mev_per_atom=332 final_energy_ev_per_atom=-4.842 space_group="No. 156" dos_at_fermi_per_ev_cell=1.980 pbc="T T T"
Tl 0.000 0.000 0.000
Bi 1.744 1.007 3.873
Ru 0.000 2.014 2.033

***

3
Lattice="4.728 -1.707 0.000 4.728 1.707 0.000 -4.363 0.000 4.977" Properties=species:S:1:pos:R:3 comment="PBE-GGA TlBiRu, relaxed" polymorph_energy_mev_per_atom=105 formation_energy_mev_per_atom=375 final_energy_ev_per_atom=-4.799 space_group="No. 8" dos_at_fermi_per_ev_cell=1.756 pbc="T T T"
Tl 0.000 0.000 0.000
Bi 2.435 0.000 2.426
Ru 5.111 0.000 2.230

***

5
Lattice="5.405 0.000 0.000 0.000 5.405 0.000 0.000 0.000 4.734" Properties=species:S:1:pos:R:3 comment="PBE-GGA Tl2BiRuW, relaxed" formation_energy_mev_per_atom=1149 final_energy_ev_per_atom=-5.020 space_group="No. 123" dos_at_fermi_per_ev_cell=5.685 pbc="T T T"
Tl 0.000 2.703 0.000
Tl 2.703 0.000 0.000
Bi 0.000 0.000 2.367
Ru 2.703 2.703 2.367
W 2.703 2.703 0.000

***

20
Lattice="5.556 -7.253 0.000 5.556 7.253 0.000 0.000 0.000 7.604" Properties=species:S:1:pos:R:3 comment="PBE-GGA Tm6Bi3Ru, relaxed" formation_energy_mev_per_atom=-333 final_energy_ev_per_atom=-5.108 space_group="No. 36" dos_at_fermi_per_ev_cell=15.619 pbc="T T T"
Tm 5.556 7.143 3.802
Tm 3.856 3.703 3.218
Tm 5.556 3.704 7.367
Tm 3.652 0.671 6.922
Tm 3.652 -0.671 3.120
Tm 7.255 3.703 3.218
Tm 3.856 -3.703 7.020
Tm 7.460 0.671 6.922
Tm 7.460 -0.671 3.120
Tm 5.556 -3.704 3.565
Tm 7.255 -3.703 7.020
Tm 5.556 -7.143 0.000
Bi 2.041 1.606 1.863
Bi 2.041 -1.606 5.665
Bi 5.556 1.423 4.577
Bi 5.556 -1.423 0.775
Bi 9.070 1.606 1.863
Bi 9.070 -1.606 5.665
Ru 5.556 5.268 1.857
Ru 5.556 -5.268 5.659

***

16
Lattice="2.730 -7.824 0.000 2.730 7.824 0.000 0.000 0.000 14.472" Properties=species:S:1:pos:R:3 comment="PBE-GGA Tm5Bi2Ru, relaxed" formation_energy_mev_per_atom=-187 final_energy_ev_per_atom=-5.112 space_group="No. 63" dos_at_fermi_per_ev_cell=9.997 pbc="T T T"
Tm 2.730 7.010 9.052
Tm 2.730 7.010 12.655
Tm 2.730 3.509 8.782
Tm 2.730 3.509 12.926
Tm 2.730 3.056 3.618
Tm 2.730 -3.056 10.854
Tm 2.730 -3.509 1.546
Tm 2.730 -3.509 5.690
Tm 2.730 -7.010 1.816
Tm 2.730 -7.010 5.419
Bi 2.730 5.604 0.988
Bi 2.730 5.604 6.248
Bi 2.730 -5.604 8.223
Bi 2.730 -5.604 13.484
Ru 2.730 5.151 10.854
Ru 2.730 -5.151 3.618

***

19
Lattice="6.556 3.785 4.009 -6.556 3.785 4.009 0.000 -7.570 4.009" Properties=species:S:1:pos:R:3 comment="PBE-GGA Tm12Bi6Ru, relaxed" formation_energy_mev_per_atom=-424 final_energy_ev_per_atom=-4.962 space_group="No. 148" dos_at_fermi_per_ev_cell=11.372 pbc="T T T"
Tm -0.383 -2.115 1.476
Tm 0.383 2.115 10.550
Tm -1.640 1.389 1.476
Tm -2.162 -0.296 4.612
Tm 2.023 0.726 1.476
Tm 1.338 -1.724 4.612
Tm -0.825 -2.021 7.414
Tm 0.825 2.021 4.612
Tm -1.338 1.724 7.414
Tm -2.023 -0.726 10.550
Tm 2.162 0.296 7.414
Tm 1.640 -1.389 10.550
Bi -1.362 -3.290 4.374
Bi -2.169 2.824 4.374
Bi -3.530 -0.466 7.652
Bi 3.530 0.466 4.374
Bi 2.169 -2.824 7.652
Bi 1.362 3.290 7.652
Ru 0.000 0.000 0.000

***

6
Lattice="-1.761 3.032 7.667 1.761 -3.032 7.667 1.761 3.032 -7.667" Properties=species:S:1:pos:R:3 comment="PBE-GGA Tm3Bi2Ru, relaxed" formation_energy_mev_per_atom=-387 final_energy_ev_per_atom=-5.463 space_group="No. 71" dos_at_fermi_per_ev_cell=2.118 pbc="T T T"
Tm 0.000 0.000 0.000
Tm 0.000 0.000 5.632
Tm 0.000 0.000 9.702
Bi 1.761 0.000 2.745
Bi 0.000 3.032 4.922
Ru 0.000 3.032 0.000

***

11
Lattice="8.969 -2.362 0.000 8.969 2.362 0.000 -2.424 0.000 6.877" Properties=species:S:1:pos:R:3 comment="PBE-GGA Tm8BiRu2, relaxed" polymorph_energy_mev_per_atom=0 formation_energy_mev_per_atom=-350 final_energy_ev_per_atom=-5.642 space_group="No. 12" dos_at_fermi_per_ev_cell=10.356 pbc="T T T"
Tm 0.106 0.000 1.744
Tm 1.662 0.000 5.632
Tm 4.442 0.000 3.734
Tm 7.125 0.000 0.144
Tm 8.388 0.000 6.732
Tm 11.072 0.000 3.143
Tm 13.852 0.000 1.245
Tm 15.408 0.000 5.132
Bi 7.757 0.000 3.438
Ru 2.896 0.000 1.371
Ru 12.618 0.000 5.506

***

14
Lattice="5.898 -4.264 0.000 5.898 4.264 0.000 -3.077 0.000 9.117" Properties=species:S:1:pos:R:3 comment="PBE-GGA Tm5BiRu, relaxed" formation_energy_mev_per_atom=-126 final_energy_ev_per_atom=-5.199 space_group="No. 15" dos_at_fermi_per_ev_cell=11.709 pbc="T T T"
Tm 0.560 1.014 5.920
Tm 3.590 3.367 6.838
Tm 4.662 1.951 0.266
Tm 2.098 -1.014 1.362
Tm 5.596 1.951 4.293
Tm 3.123 -1.951 4.824
Tm 6.621 1.014 7.755
Tm 4.058 -1.951 8.851
Tm 5.129 -3.367 2.279
Tm 8.160 -1.014 3.196
Bi 3.590 0.341 6.838
Bi 5.129 -0.341 2.279
Ru 0.000 0.000 0.000
Ru -1.539 0.000 4.558

***

8
Lattice="6.728 0.000 0.000 3.363 5.836 0.000 3.356 1.950 6.549" Properties=species:S:1:pos:R:3 comment="PBE-GGA Tm6BiRu, relaxed" formation_energy_mev_per_atom=-133 final_energy_ev_per_atom=-5.131 space_group="No. 2" dos_at_fermi_per_ev_cell=8.183 pbc="T T T"
Tm 2.547 2.953 1.761
Tm 7.189 7.051 4.786
Tm 6.319 5.067 1.762
Tm 7.128 2.719 4.787
Tm 6.258 0.735 1.763
Tm 10.900 4.833 4.787
Bi 5.045 2.918 0.000
Ru 1.678 0.975 3.274